(1)
{"formula": "Be2TlCd", "functional": "PBE", "state": "optimized geometry", "lattice_angstrom": [[0.0000, 3.2431, 3.2431], [3.2431, 0.0000, 3.2431], [3.2431, 3.2431, 0.0000]], "species": ["Be", "Be", "Tl", "Cd"], "fractional_positions": [[0.2500, 0.2500, 0.2500], [0.7500, 0.7500, 0.7500], [0.0000, 0.0000, 0.0000], [0.5000, 0.5000, 0.5000]], "e_tot_ev_per_atom": -1.92, "n_ef_per_ev_cell": 2.06, "mass_density_g_cm3": 8.1, "e_form_ev_per_atom": 0.767, "de_polymorph_kj_per_mol_atoms": 29.2}



(2)
{"formula": "ZrAlI", "functional": "PBE", "state": "optimized geometry", "lattice_angstrom": [[3.5334, 0.0000, 0.0000], [-0.0001, 4.1885, 0.0000], [-0.4557, -1.4794, 12.5446]], "species": ["Zr", "Zr", "Al", "Al", "I", "I"], "fractional_positions": [[0.0179, 0.2995, 0.1397], [0.9821, 0.7005, 0.8603], [0.4922, 0.2286, 0.9394], [0.5078, 0.7714, 0.0606], [0.4584, 0.6359, 0.6766], [0.5416, 0.3641, 0.3234]], "e_tot_ev_per_atom": -5.10, "n_ef_per_ev_cell": 2.83, "mass_density_g_cm3": 4.4, "raw_formation_energy_kj_per_mol_fu": -142}



Copy entry 1 word for word.
{"formula": "Be2TlCd", "functional": "PBE", "state": "optimized geometry", "lattice_angstrom": [[0.0000, 3.2431, 3.2431], [3.2431, 0.0000, 3.2431], [3.2431, 3.2431, 0.0000]], "species": ["Be", "Be", "Tl", "Cd"], "fractional_positions": [[0.2500, 0.2500, 0.2500], [0.7500, 0.7500, 0.7500], [0.0000, 0.0000, 0.0000], [0.5000, 0.5000, 0.5000]], "e_tot_ev_per_atom": -1.92, "n_ef_per_ev_cell": 2.06, "mass_density_g_cm3": 8.1, "e_form_ev_per_atom": 0.767, "de_polymorph_kj_per_mol_atoms": 29.2}